Material: ZrTa2
Method: DFT, PBE
State: relaxed

Cell: 8.189 8.189 8.189 Å, 60.00 60.00 60.00°
Fractional coordinates of all 6 atoms:
Zr: 0.125 0.125 0.125
Zr: 0.875 0.875 0.875
Ta: 0.000 0.000 0.000
Ta: 0.000 0.000 0.500
Ta: 0.000 0.500 0.000
Ta: 0.500 0.000 0.000

## Properties
Relative energy among the computed polymorphs, eV/f.u.: 12.256
Energy of formation, eV per atom: 4.12

=====

Material: ZrTa2
Method: DFT, PBE
State: relaxed

Cell: 4.772 4.772 2.984 Å, 90.00 90.00 120.00°
Fractional coordinates of all 3 atoms:
Zr: 0.000 0.000 0.000
Ta: 0.333 0.667 0.371
Ta: 0.667 0.333 0.629

## Properties
Relative energy among the computed polymorphs, eV/f.u.: 0.244
Energy of formation, eV per atom: 0.12

=====

Material: ZrTa
Method: DFT, PBE
State: relaxed

Cell: 4.882 4.886 6.767 Å, 90.00 90.00 90.00°
Fractional coordinates of all 8 atoms:
Zr: 0.003 0.250 0.125
Zr: 0.497 0.750 0.625
Zr: 0.503 0.250 0.375
Zr: 0.997 0.750 0.875
Ta: 0.002 0.250 0.625
Ta: 0.498 0.750 0.125
Ta: 0.502 0.250 0.875
Ta: 0.998 0.750 0.375

## Properties
Energy of formation, eV per atom: 0.14

=====

Material: ZrTa2
Method: DFT, PBE
State: relaxed

Cell: 5.578 5.578 8.999 Å, 90.00 90.00 120.00°
Fractional coordinates of all 12 atoms:
Zr: 0.333 0.667 0.063
Zr: 0.333 0.667 0.437
Zr: 0.667 0.333 0.563
Zr: 0.667 0.333 0.937
Ta: 0.000 0.000 0.000
Ta: 0.000 0.000 0.500
Ta: 0.171 0.341 0.750
Ta: 0.171 0.829 0.750
Ta: 0.341 0.171 0.250
Ta: 0.659 0.829 0.750
Ta: 0.829 0.171 0.250
Ta: 0.829 0.659 0.250

## Properties
Relative energy among the computed polymorphs, eV/f.u.: 0.000
Energy of formation, eV per atom: 0.03

=====

Material: ZrTa
Method: DFT, PBE
State: relaxed

Cell: 4.687 9.222 5.743 Å, 90.00 90.00 90.00°
Fractional coordinates of all 12 atoms:
Zr: 0.000 0.120 0.000
Zr: 0.000 0.217 0.478
Zr: 0.000 0.783 0.978
Zr: 0.000 0.880 0.500
Zr: 0.500 0.296 0.784
Zr: 0.500 0.704 0.284
Ta: 0.000 0.463 0.998
Ta: 0.000 0.537 0.498
Ta: 0.500 0.048 0.304
Ta: 0.500 0.384 0.277
Ta: 0.500 0.616 0.777
Ta: 0.500 0.952 0.804

## Properties
Energy of formation, eV per atom: 0.16

=====

Material: ZrTa2
Method: DFT, PBE
State: relaxed

Cell: 3.433 10.448 3.294 Å, 90.00 90.00 90.00°
Fractional coordinates of all 6 atoms:
Zr: 0.250 0.250 0.247
Zr: 0.750 0.750 0.753
Ta: 0.250 0.570 0.251
Ta: 0.250 0.930 0.251
Ta: 0.750 0.070 0.749
Ta: 0.750 0.430 0.749

## Properties
Relative energy among the computed polymorphs, eV/f.u.: 0.184
Energy of formation, eV per atom: 0.10

=====

Material: ZrTa2
Method: DFT, PBE
State: relaxed

Cell: 5.595 5.595 17.919 Å, 90.00 90.00 120.00°
Fractional coordinates of all 24 atoms:
Zr: 0.000 0.000 0.094
Zr: 0.000 0.000 0.406
Zr: 0.000 0.000 0.594
Zr: 0.000 0.000 0.906
Zr: 0.333 0.667 0.156
Zr: 0.333 0.667 0.344
Zr: 0.667 0.333 0.656
Zr: 0.667 0.333 0.844
Ta: 0.000 0.500 0.000
Ta: 0.000 0.500 0.500
Ta: 0.162 0.324 0.750
Ta: 0.162 0.838 0.750
Ta: 0.324 0.162 0.250
Ta: 0.333 0.667 0.626
Ta: 0.333 0.667 0.874
Ta: 0.500 0.000 0.000
Ta: 0.500 0.000 0.500
Ta: 0.500 0.500 0.000
Ta: 0.500 0.500 0.500
Ta: 0.667 0.333 0.126
Ta: 0.667 0.333 0.374
Ta: 0.676 0.838 0.750
Ta: 0.838 0.162 0.250
Ta: 0.838 0.676 0.250

## Properties
Relative energy among the computed polymorphs, eV/f.u.: 0.048
Energy of formation, eV per atom: 0.05

=====

Material: ZrTa
Method: DFT, PBE
State: relaxed

Cell: 4.702 9.213 5.748 Å, 90.00 90.00 90.00°
Fractional coordinates of all 12 atoms:
Zr: 0.000 0.046 0.000
Zr: 0.000 0.374 0.970
Zr: 0.000 0.626 0.470
Zr: 0.000 0.954 0.500
Zr: 0.500 0.444 0.291
Zr: 0.500 0.556 0.791
Ta: 0.000 0.275 0.484
Ta: 0.000 0.725 0.984
Ta: 0.500 0.125 0.288
Ta: 0.500 0.203 0.766
Ta: 0.500 0.797 0.266
Ta: 0.500 0.875 0.788

## Properties
Energy of formation, eV per atom: 0.15

=====

Material: ZrTa
Method: DFT, PBE
State: relaxed

Cell: 6.846 4.793 7.652 Å, 90.00 102.80 90.00°
Fractional coordinates of all 12 atoms:
Zr: 0.125 0.250 0.033
Zr: 0.296 0.250 0.679
Zr: 0.361 0.750 0.979
Zr: 0.639 0.250 0.021
Zr: 0.704 0.750 0.321
Zr: 0.875 0.750 0.967
Ta: 0.026 0.750 0.633
Ta: 0.211 0.750 0.336
Ta: 0.458 0.250 0.362
Ta: 0.542 0.750 0.638
Ta: 0.789 0.250 0.664
Ta: 0.974 0.250 0.367

## Properties
Energy of formation, eV per atom: 0.12

=====

Material: ZrTa
Method: DFT, PBE
State: relaxed

Cell: 6.784 4.823 7.653 Å, 90.00 102.82 90.00°
Fractional coordinates of all 12 atoms:
Zr: 0.033 0.250 0.160
Zr: 0.303 0.750 0.202
Zr: 0.453 0.750 0.839
Zr: 0.547 0.250 0.161
Zr: 0.697 0.250 0.798
Zr: 0.967 0.750 0.840
Ta: 0.121 0.750 0.510
Ta: 0.201 0.250 0.796
Ta: 0.365 0.250 0.489
Ta: 0.635 0.750 0.511
Ta: 0.799 0.750 0.204
Ta: 0.879 0.250 0.490

## Properties
Energy of formation, eV per atom: 0.12

=====

Material: ZrTa
Method: DFT, PBE
State: relaxed

Cell: 5.073 5.883 5.522 Å, 90.00 90.00 90.00°
Fractional coordinates of all 8 atoms:
Zr: 0.000 0.000 0.000
Zr: 0.000 0.258 0.489
Zr: 0.000 0.742 0.489
Zr: 0.500 0.000 0.718
Ta: 0.000 0.500 0.995
Ta: 0.500 0.260 0.217
Ta: 0.500 0.500 0.729
Ta: 0.500 0.740 0.217

## Properties
Energy of formation, eV per atom: 0.21

=====

Material: ZrTa
Method: DFT, PBE
State: relaxed

Cell: 6.010 4.861 8.351 Å, 90.00 90.86 90.00°
Fractional coordinates of all 12 atoms:
Zr: 0.086 0.250 0.084
Zr: 0.110 0.750 0.571
Zr: 0.402 0.250 0.407
Zr: 0.598 0.750 0.593
Zr: 0.890 0.250 0.429
Zr: 0.914 0.750 0.916
Ta: 0.252 0.750 0.230
Ta: 0.270 0.250 0.758
Ta: 0.418 0.750 0.924
Ta: 0.582 0.250 0.076
Ta: 0.730 0.750 0.242
Ta: 0.748 0.250 0.770

## Properties
Energy of formation, eV per atom: 0.13